a) ! ErCdInPb, relaxed, DFT PBE-GGA; values from VASP
&SYSTEM
  ibrav = 0, nat = 4, ntyp = 4
/
ATOMIC_SPECIES
Er 167.26 Er.upf
Cd 112.41 Cd.upf
In 114.82 In.upf
Pb 207.20 Pb.upf
CELL_PARAMETERS angstrom
4.5428 0.0000 0.0000
0.0000 4.6575 0.0000
0.0000 0.0000 4.8127
ATOMIC_POSITIONS crystal
Er 0.0000 0.0000 0.0000
Cd 0.0000 0.5000 0.5000
In 0.5000 0.0000 0.5000
Pb 0.5000 0.5000 0.0000
! Crystal system = orthorhombic
! M_tot = 0.00 μB/f.u.

b) ! ErCdInPb, relaxed, DFT PBE-GGA; values from VASP
&SYSTEM
  ibrav = 0, nat = 4, ntyp = 4
/
ATOMIC_SPECIES
Er 167.26 Er.upf
Cd 112.41 Cd.upf
In 114.82 In.upf
Pb 207.20 Pb.upf
CELL_PARAMETERS angstrom
0.0000 3.7715 3.7715
3.7715 0.0000 3.7715
3.7715 3.7715 0.0000
ATOMIC_POSITIONS crystal
Er 0.0000 0.0000 0.0000
Cd 0.5000 0.5000 0.5000
In 0.7500 0.7500 0.7500
Pb 0.2500 0.2500 0.2500
! Crystal system = cubic
! M_tot = 0.00 μB/f.u.

a) takes first place; second place is 20.7 kJ/mol of atoms up.

a) ! Er2CdIr, relaxed, DFT PBE-GGA; values from VASP
&SYSTEM
  ibrav = 0, nat = 4, ntyp = 3
/
ATOMIC_SPECIES
Er 167.26 Er.upf
Cd 112.41 Cd.upf
Ir 192.22 Ir.upf
CELL_PARAMETERS angstrom
3.4928 0.0000 0.0000
0.0000 3.4928 0.0000
0.0000 0.0000 7.4334
ATOMIC_POSITIONS crystal
Er 0.0000 0.0000 0.2159
Er 0.0000 0.0000 0.7841
Cd 0.5000 0.5000 0.5000
Ir 0.5000 0.5000 0.0000
! Crystal system = tetragonal
! M_tot = 0.00 μB/f.u.

b) ! Er2CdIr, relaxed, DFT PBE-GGA; values from VASP
&SYSTEM
  ibrav = 0, nat = 4, ntyp = 3
/
ATOMIC_SPECIES
Er 167.26 Er.upf
Cd 112.41 Cd.upf
Ir 192.22 Ir.upf
CELL_PARAMETERS angstrom
1.9945 1.1515 9.5048
-1.9945 1.1515 9.5048
0.0000 -2.3030 9.5048
ATOMIC_POSITIONS crystal
Er 0.1162 0.1162 0.1162
Er 0.8838 0.8838 0.8838
Cd 0.0000 0.0000 0.0000
Ir 0.5000 0.5000 0.5000
! Crystal system = trigonal
! M_tot = 0.00 μB/f.u.

a) takes first place; second place is 33.1 kJ/mol of atoms up.

a) ! La2Er2Cd, relaxed, DFT PBE-GGA; values from VASP
&SYSTEM
  ibrav = 0, nat = 5, ntyp = 3
/
ATOMIC_SPECIES
La 138.91 La.upf
Er 167.26 Er.upf
Cd 112.41 Cd.upf
CELL_PARAMETERS angstrom
-1.8316 1.8316 11.6382
1.8316 -1.8316 11.6382
1.8316 1.8316 -11.6382
ATOMIC_POSITIONS crystal
La 0.1917 0.1917 0.0000
La 0.8083 0.8083 0.0000
Er 0.4173 0.4173 0.0000
Er 0.5827 0.5827 0.0000
Cd 0.0000 0.0000 0.0000
! Crystal system = tetragonal
! M_tot = 0.69 μB/f.u.

b) ! La2Er2Cd, relaxed, DFT PBE-GGA; values from VASP
&SYSTEM
  ibrav = 0, nat = 10, ntyp = 3
/
ATOMIC_SPECIES
La 138.91 La.upf
Er 167.26 Er.upf
Cd 112.41 Cd.upf
CELL_PARAMETERS angstrom
4.3011 -4.7122 0.0000
4.3011 4.7122 0.0000
-3.7595 0.0000 7.7363
ATOMIC_POSITIONS crystal
La 0.1659 0.1659 0.4318
La 0.2828 0.2828 0.8767
La 0.7172 0.7172 0.1233
La 0.8341 0.8341 0.5682
Er 0.2409 0.6071 0.2779
Er 0.3929 0.7591 0.7221
Er 0.6071 0.2409 0.2779
Er 0.7591 0.3929 0.7221
Cd 0.1603 0.8397 0.0000
Cd 0.8397 0.1603 0.0000
! Crystal system = monoclinic
! M_tot = 0.00 μB/f.u.

a) takes first place; second place is 5.9 kJ/mol of atoms up.

a) ! LaErCd2, relaxed, DFT PBE-GGA; values from VASP
&SYSTEM
  ibrav = 0, nat = 4, ntyp = 3
/
ATOMIC_SPECIES
La 138.91 La.upf
Er 167.26 Er.upf
Cd 112.41 Cd.upf
CELL_PARAMETERS angstrom
0.0000 3.8338 3.8338
3.8338 0.0000 3.8338
3.8338 3.8338 0.0000
ATOMIC_POSITIONS crystal
La 0.0000 0.0000 0.0000
Er 0.5000 0.5000 0.5000
Cd 0.2500 0.2500 0.2500
Cd 0.7500 0.7500 0.7500
! Crystal system = cubic
! M_tot = 0.43 μB/f.u.

b) ! LaErCd2, relaxed, DFT PBE-GGA; values from VASP
&SYSTEM
  ibrav = 0, nat = 4, ntyp = 3
/
ATOMIC_SPECIES
La 138.91 La.upf
Er 167.26 Er.upf
Cd 112.41 Cd.upf
CELL_PARAMETERS angstrom
3.7457 0.0000 0.0000
0.0000 3.7457 0.0000
0.0000 0.0000 7.9558
ATOMIC_POSITIONS crystal
La 0.0000 0.0000 0.0000
Er 0.0000 0.0000 0.5000
Cd 0.5000 0.5000 0.2765
Cd 0.5000 0.5000 0.7235
! Crystal system = tetragonal
! M_tot = 0.40 μB/f.u.

b) takes first place; second place is 1.1 kJ/mol of atoms up.

a) ! LaErCd4, relaxed, DFT PBE-GGA; values from VASP
&SYSTEM
  ibrav = 0, nat = 6, ntyp = 3
/
ATOMIC_SPECIES
La 138.91 La.upf
Er 167.26 Er.upf
Cd 112.41 Cd.upf
CELL_PARAMETERS angstrom
0.0000 4.2310 4.2310
4.2310 0.0000 4.2310
4.2310 4.2310 0.0000
ATOMIC_POSITIONS crystal
La 0.0000 0.0000 0.0000
Er 0.7500 0.7500 0.7500
Cd 0.3752 0.3752 0.3752
Cd 0.3752 0.3752 0.8743
Cd 0.3752 0.8743 0.3752
Cd 0.8743 0.3752 0.3752
! Crystal system = cubic
! M_tot = 0.00 μB/f.u.

b) ! LaErCd4, relaxed, DFT PBE-GGA; values from VASP
&SYSTEM
  ibrav = 0, nat = 6, ntyp = 3
/
ATOMIC_SPECIES
La 138.91 La.upf
Er 167.26 Er.upf
Cd 112.41 Cd.upf
CELL_PARAMETERS angstrom
3.4628 0.0000 0.0000
0.0000 5.0541 0.0000
0.0000 0.0000 8.7653
ATOMIC_POSITIONS crystal
La 0.0000 0.0000 0.0000
Er 0.0000 0.5000 0.5000
Cd 0.5000 0.0000 0.3395
Cd 0.5000 0.0000 0.6605
Cd 0.5000 0.5000 0.1750
Cd 0.5000 0.5000 0.8250
! Crystal system = orthorhombic
! M_tot = 0.13 μB/f.u.

b) takes first place; second place is 5.0 kJ/mol of atoms up.